(1)
A plane-wave DFT calculation with meta-GGA SCAN was carried out for a crystal of CaCo2O4 relaxed with PBEsol. Values from VASP.

Geometry as Quantum ESPRESSO input:
```
&SYSTEM
  ibrav = 0, nat = 14, ntyp = 3
/
ATOMIC_SPECIES
Ca 40.08 Ca.upf
Co 58.93 Co.upf
O 16.00 O.upf
ATOMIC_POSITIONS crystal
Ca 0.1250 0.1250 0.1250
Ca 0.8750 0.8750 0.8750
Co 0.0000 0.5000 0.5000
Co 0.5000 0.0000 0.5000
Co 0.5000 0.5000 0.0000
Co 0.5000 0.5000 0.5000
O 0.2724 0.2724 0.2724
O 0.2724 0.2724 0.6827
O 0.2724 0.6827 0.2724
O 0.3173 0.7276 0.7276
O 0.6827 0.2724 0.2724
O 0.7276 0.3173 0.7276
O 0.7276 0.7276 0.3173
O 0.7276 0.7276 0.7276
CELL_PARAMETERS angstrom
0.0000 4.1923 4.1923
4.1923 0.0000 4.1923
4.1923 4.1923 0.0000
```

Computed properties:
Magnetization = 0.00 μB/f.u.
Calculated total energy = -11.8233 eV per atom
ΔE_f (raw) = -13.6 eV per formula unit
Energy above the most stable polymorph in this dataset = 132.0 meV per atom
DOS(E_F) = 0.00 states/eV/f.u.

***

(2)
A plane-wave DFT calculation with meta-GGA SCAN was carried out for a crystal of CaCo2O4 relaxed with PBEsol. Values from VASP.

Geometry as Quantum ESPRESSO input:
```
&SYSTEM
  ibrav = 0, nat = 28, ntyp = 3
/
ATOMIC_SPECIES
Ca 40.08 Ca.upf
Co 58.93 Co.upf
O 16.00 O.upf
ATOMIC_POSITIONS crystal
Ca 0.2381 0.2500 0.1634
Ca 0.2619 0.7500 0.6634
Ca 0.7381 0.2500 0.3366
Ca 0.7619 0.7500 0.8366
Co 0.0568 0.2500 0.3880
Co 0.0857 0.2500 0.9022
Co 0.4143 0.7500 0.4022
Co 0.4432 0.7500 0.8880
Co 0.5568 0.2500 0.1120
Co 0.5857 0.2500 0.5978
Co 0.9143 0.7500 0.0978
Co 0.9432 0.7500 0.6120
O 0.0338 0.7500 0.7877
O 0.0794 0.2500 0.5721
O 0.1144 0.7500 0.0223
O 0.1973 0.7500 0.3443
O 0.3027 0.2500 0.8443
O 0.3856 0.2500 0.5223
O 0.4206 0.7500 0.0721
O 0.4662 0.2500 0.2877
O 0.5338 0.7500 0.7123
O 0.5794 0.2500 0.9279
O 0.6144 0.7500 0.4777
O 0.6973 0.7500 0.1557
O 0.8027 0.2500 0.6557
O 0.8856 0.2500 0.9777
O 0.9206 0.7500 0.4279
O 0.9662 0.2500 0.2123
CELL_PARAMETERS angstrom
8.6746 0.0000 0.0000
0.0000 2.9033 0.0000
0.0000 0.0000 10.1841
```

Computed properties:
Magnetization = 0.00 μB/f.u.
Calculated total energy = -11.9226 eV per atom
ΔE_f (raw) = -14.3 eV per formula unit
Energy above the most stable polymorph in this dataset = 32.8 meV per atom
DOS(E_F) = 0.00 states/eV/f.u.

***

(3)
A plane-wave DFT calculation with meta-GGA SCAN was carried out for a crystal of CaCo2O4 relaxed with PBEsol. Values from VASP.

Geometry as Quantum ESPRESSO input:
```
&SYSTEM
  ibrav = 0, nat = 28, ntyp = 3
/
ATOMIC_SPECIES
Ca 40.08 Ca.upf
Co 58.93 Co.upf
O 16.00 O.upf
ATOMIC_POSITIONS crystal
Ca 0.2500 0.2500 0.0352
Ca 0.2500 0.7500 0.3575
Ca 0.7500 0.2500 0.6425
Ca 0.7500 0.7500 0.9648
Co 0.0000 0.0000 0.5000
Co 0.0000 0.5000 0.5000
Co 0.2500 0.5048 0.9983
Co 0.2500 0.9952 0.9983
Co 0.5000 0.0000 0.5000
Co 0.5000 0.5000 0.5000
Co 0.7500 0.0048 0.0017
Co 0.7500 0.4952 0.0017
O 0.0029 0.0948 0.8341
O 0.0029 0.4052 0.8341
O 0.2500 0.0872 0.3308
O 0.2500 0.4128 0.3308
O 0.2500 0.5925 0.6656
O 0.2500 0.9075 0.6656
O 0.4971 0.0948 0.8341
O 0.4971 0.4052 0.8341
O 0.5029 0.5948 0.1659
O 0.5029 0.9052 0.1659
O 0.7500 0.0925 0.3344
O 0.7500 0.4075 0.3344
O 0.7500 0.5872 0.6692
O 0.7500 0.9128 0.6692
O 0.9971 0.5948 0.1659
O 0.9971 0.9052 0.1659
CELL_PARAMETERS angstrom
5.6604 0.0000 0.0000
0.0000 10.6262 0.0000
0.0000 0.0000 4.9086
```

Computed properties:
Magnetization = 0.00 μB/f.u.
Calculated total energy = -11.9554 eV per atom
ΔE_f (raw) = -14.5 eV per formula unit
Energy above the most stable polymorph in this dataset = 0.0 meV per atom
DOS(E_F) = 0.00 states/eV/f.u.

***

(4)
A plane-wave DFT calculation with meta-GGA SCAN was carried out for a crystal of Ca2Co3O8 relaxed with PBEsol. Values from VASP.

Geometry as Quantum ESPRESSO input:
```
&SYSTEM
  ibrav = 0, nat = 13, ntyp = 3
/
ATOMIC_SPECIES
Ca 40.08 Ca.upf
Co 58.93 Co.upf
O 16.00 O.upf
ATOMIC_POSITIONS crystal
Ca 0.2260 0.2260 0.1710
Ca 0.7740 0.7740 0.8290
Co 0.2434 0.7566 0.5000
Co 0.5000 0.5000 0.0000
Co 0.7566 0.2434 0.5000
O 0.1011 0.1011 0.4641
O 0.1803 0.6237 0.1099
O 0.3763 0.8197 0.8901
O 0.4049 0.4049 0.5974
O 0.5951 0.5951 0.4026
O 0.6237 0.1803 0.1099
O 0.8197 0.3763 0.8901
O 0.8989 0.8989 0.5359
CELL_PARAMETERS angstrom
5.3863 -2.8678 0.0000
5.3863 2.8678 0.0000
-1.6326 0.0000 4.6031
```

Computed properties:
Magnetization = 1.01 μB/f.u.
Calculated total energy = -11.2139 eV per atom
ΔE_f (raw) = -24.7 eV per formula unit
DOS(E_F) = 2.08 states/eV/f.u.

***

(5)
A plane-wave DFT calculation with meta-GGA SCAN was carried out for a crystal of Ca3CoO6 relaxed with PBEsol. Values from VASP.

Geometry as Quantum ESPRESSO input:
```
&SYSTEM
  ibrav = 0, nat = 20, ntyp = 3
/
ATOMIC_SPECIES
Ca 40.08 Ca.upf
Co 58.93 Co.upf
O 16.00 O.upf
ATOMIC_POSITIONS crystal
Ca 0.1021 0.7500 0.3979
Ca 0.2500 0.6021 0.8979
Ca 0.3979 0.1021 0.7500
Ca 0.6021 0.8979 0.2500
Ca 0.7500 0.3979 0.1021
Ca 0.8979 0.2500 0.6021
Co 0.0000 0.0000 0.0000
Co 0.5000 0.5000 0.5000
O 0.0685 0.9236 0.7240
O 0.0764 0.2760 0.9315
O 0.2240 0.4236 0.5685
O 0.2760 0.9315 0.0764
O 0.4236 0.5685 0.2240
O 0.4315 0.7760 0.5764
O 0.5685 0.2240 0.4236
O 0.5764 0.4315 0.7760
O 0.7240 0.0685 0.9236
O 0.7760 0.5764 0.4315
O 0.9236 0.7240 0.0685
O 0.9315 0.0764 0.2760
CELL_PARAMETERS angstrom
4.3544 2.5140 3.7376
-4.3544 2.5140 3.7376
0.0000 -5.0281 3.7376
```

Computed properties:
Magnetization = 3.00 μB/f.u.
Calculated total energy = -10.5909 eV per atom
ΔE_f (raw) = -22.2 eV per formula unit
DOS(E_F) = 4.50 states/eV/f.u.

***

(6)
A plane-wave DFT calculation with meta-GGA SCAN was carried out for a crystal of CaCo2O4 relaxed with PBEsol. Values from VASP.

Geometry as Quantum ESPRESSO input:
```
&SYSTEM
  ibrav = 0, nat = 14, ntyp = 3
/
ATOMIC_SPECIES
Ca 40.08 Ca.upf
Co 58.93 Co.upf
O 16.00 O.upf
ATOMIC_POSITIONS crystal
Ca 0.3750 0.1250 0.2500
Ca 0.6250 0.8750 0.7500
Co 0.0000 0.0000 0.5000
Co 0.0000 0.5000 0.0000
Co 0.0000 0.5000 0.5000
Co 0.5000 0.5000 0.0000
O 0.0291 0.1480 0.3332
O 0.1959 0.5291 0.3810
O 0.3148 0.6959 0.1668
O 0.3520 0.1852 0.8810
O 0.6480 0.8148 0.1190
O 0.6852 0.3041 0.8332
O 0.8041 0.4709 0.6190
O 0.9709 0.8520 0.6668
CELL_PARAMETERS angstrom
-2.8007 2.8007 4.7514
2.8007 -2.8007 4.7514
2.8007 2.8007 -4.7514
```

Computed properties:
Magnetization = 4.00 μB/f.u.
Calculated total energy = -11.7300 eV per atom
ΔE_f (raw) = -12.9 eV per formula unit
Energy above the most stable polymorph in this dataset = 225.3 meV per atom
DOS(E_F) = 0.08 states/eV/f.u.

***

(7)
A plane-wave DFT calculation with meta-GGA SCAN was carried out for a crystal of Ca3Co2O6 relaxed with PBEsol. Values from VASP.

Geometry as Quantum ESPRESSO input:
```
&SYSTEM
  ibrav = 0, nat = 22, ntyp = 3
/
ATOMIC_SPECIES
Ca 40.08 Ca.upf
Co 58.93 Co.upf
O 16.00 O.upf
ATOMIC_POSITIONS crystal
Ca 0.1201 0.8799 0.7500
Ca 0.2532 0.3826 0.6176
Ca 0.3826 0.2532 0.1176
Ca 0.6174 0.7468 0.8824
Ca 0.7468 0.6174 0.3824
Ca 0.8799 0.1201 0.2500
Co 0.0000 0.5000 0.0000
Co 0.2453 0.7547 0.2500
Co 0.5000 0.0000 0.5000
Co 0.7547 0.2453 0.7500
O 0.0404 0.2106 0.9127
O 0.0908 0.4617 0.2877
O 0.2106 0.0404 0.4127
O 0.2878 0.5864 0.9556
O 0.4136 0.7122 0.5444
O 0.4617 0.0908 0.7877
O 0.5383 0.9092 0.2123
O 0.5864 0.2878 0.4556
O 0.7122 0.4136 0.0444
O 0.7894 0.9596 0.5873
O 0.9092 0.5383 0.7123
O 0.9596 0.7894 0.0873
CELL_PARAMETERS angstrom
4.3009 -4.4921 0.0000
4.3009 4.4921 0.0000
-0.3868 0.0000 6.2346
```

Computed properties:
Magnetization = 4.04 μB/f.u.
Calculated total energy = -11.5963 eV per atom
ΔE_f (raw) = -26.6 eV per formula unit

***

(8)
A plane-wave DFT calculation with meta-GGA SCAN was carried out for a crystal of SrCaCoP2O8 relaxed with PBEsol. Values from VASP.

Geometry as Quantum ESPRESSO input:
```
&SYSTEM
  ibrav = 0, nat = 26, ntyp = 5
/
ATOMIC_SPECIES
Sr 87.62 Sr.upf
Ca 40.08 Ca.upf
Co 58.93 Co.upf
P 30.97 P.upf
O 16.00 O.upf
ATOMIC_POSITIONS crystal
Sr 0.2392 0.1914 0.4386
Sr 0.7608 0.8086 0.5614
Ca 0.4957 0.5897 0.8421
Ca 0.5043 0.4103 0.1579
Co 0.1362 0.8483 0.0643
Co 0.8638 0.1517 0.9357
P 0.1071 0.5796 0.2773
P 0.3353 0.0395 0.7978
P 0.6647 0.9605 0.2022
P 0.8929 0.4204 0.7227
O 0.0657 0.4076 0.1106
O 0.1204 0.9683 0.8690
O 0.1213 0.4563 0.6578
O 0.1525 0.7997 0.2642
O 0.2339 0.9924 0.6235
O 0.3479 0.5538 0.3776
O 0.4539 0.0844 0.1797
O 0.4677 0.2768 0.8961
O 0.5323 0.7232 0.1039
O 0.5461 0.9156 0.8203
O 0.6521 0.4462 0.6224
O 0.7661 0.0076 0.3765
O 0.8475 0.2003 0.7358
O 0.8787 0.5437 0.3422
O 0.8796 0.0317 0.1310
O 0.9343 0.5924 0.8894
CELL_PARAMETERS angstrom
5.5764 0.0000 0.0000
-1.0907 6.7994 0.0000
-1.7990 -3.4433 8.5272
```

Computed properties:
Magnetization = 3.00 μB/f.u.
Calculated total energy = -11.9980 eV per atom
ΔE_f (raw) = -36.1 eV per formula unit
DOS(E_F) = 0.00 states/eV/f.u.

***

(9)
A plane-wave DFT calculation with meta-GGA SCAN was carried out for a crystal of CaTiCoP3O12 relaxed with PBEsol. Values from VASP.

Geometry as Quantum ESPRESSO input:
```
&SYSTEM
  ibrav = 0, nat = 36, ntyp = 5
/
ATOMIC_SPECIES
Ca 40.08 Ca.upf
Ti 47.87 Ti.upf
Co 58.93 Co.upf
P 30.97 P.upf
O 16.00 O.upf
ATOMIC_POSITIONS crystal
Ca 0.0000 0.0000 0.0000
Ca 0.5000 0.5000 0.5000
Ti 0.1495 0.1495 0.1495
Ti 0.6495 0.6495 0.6495
Co 0.3559 0.3559 0.3559
Co 0.8559 0.8559 0.8559
P 0.0437 0.7552 0.4636
P 0.2552 0.5437 0.9636
P 0.4636 0.0437 0.7552
P 0.5437 0.9636 0.2552
P 0.7552 0.4636 0.0437
P 0.9636 0.2552 0.5437
O 0.0029 0.2074 0.3751
O 0.0113 0.8055 0.6239
O 0.0570 0.9270 0.2744
O 0.0882 0.7314 0.9392
O 0.1239 0.3055 0.5113
O 0.2074 0.3751 0.0029
O 0.2314 0.5882 0.4392
O 0.2744 0.0570 0.9270
O 0.3055 0.5113 0.1239
O 0.3751 0.0029 0.2074
O 0.4270 0.5570 0.7744
O 0.4392 0.2314 0.5882
O 0.5029 0.8751 0.7074
O 0.5113 0.1239 0.3055
O 0.5570 0.7744 0.4270
O 0.5882 0.4392 0.2314
O 0.6239 0.0113 0.8055
O 0.7074 0.5029 0.8751
O 0.7314 0.9392 0.0882
O 0.7744 0.4270 0.5570
O 0.8055 0.6239 0.0113
O 0.8751 0.7074 0.5029
O 0.9270 0.2744 0.0570
O 0.9392 0.0882 0.7314
CELL_PARAMETERS angstrom
4.2912 2.4775 7.1787
-4.2912 2.4775 7.1787
0.0000 -4.9551 7.1787
```

Computed properties:
Magnetization = 4.03 μB/f.u.
Calculated total energy = -10.8912 eV per atom
ΔE_f (raw) = -47.1 eV per formula unit

***

(10)
A plane-wave DFT calculation with meta-GGA SCAN was carried out for a crystal of Ca3CoRhO6 relaxed with PBEsol. Values from VASP.

Geometry as Quantum ESPRESSO input:
```
&SYSTEM
  ibrav = 0, nat = 22, ntyp = 4
/
ATOMIC_SPECIES
Ca 40.08 Ca.upf
Co 58.93 Co.upf
Rh 102.91 Rh.upf
O 16.00 O.upf
ATOMIC_POSITIONS crystal
Ca 0.1197 0.8803 0.7500
Ca 0.2545 0.3839 0.6165
Ca 0.3839 0.2545 0.1165
Ca 0.6161 0.7455 0.8835
Ca 0.7455 0.6161 0.3835
Ca 0.8803 0.1197 0.2500
Co 0.2437 0.7563 0.2500
Co 0.7563 0.2437 0.7500
Rh 0.0000 0.5000 0.0000
Rh 0.5000 0.0000 0.5000
O 0.0399 0.2006 0.9072
O 0.0972 0.4649 0.2975
O 0.2006 0.0399 0.4072
O 0.2973 0.5905 0.9538
O 0.4095 0.7027 0.5462
O 0.4649 0.0972 0.7975
O 0.5351 0.9028 0.2025
O 0.5905 0.2973 0.4538
O 0.7027 0.4095 0.0462
O 0.7994 0.9601 0.5928
O 0.9028 0.5351 0.7025
O 0.9601 0.7994 0.0928
CELL_PARAMETERS angstrom
4.4085 -4.5415 0.0000
4.4085 4.5415 0.0000
-0.3018 0.0000 6.3570
```

Computed properties:
Magnetization = 4.01 μB/f.u.
Calculated total energy = -12.9731 eV per atom
ΔE_f (raw) = -25.3 eV per formula unit
DOS(E_F) = 2.74 states/eV/f.u.

***

(11)
A plane-wave DFT calculation with meta-GGA SCAN was carried out for a crystal of Ca6Co3RhO12 relaxed with PBEsol. Values from VASP.

Geometry as Quantum ESPRESSO input:
```
&SYSTEM
  ibrav = 0, nat = 22, ntyp = 4
/
ATOMIC_SPECIES
Ca 40.08 Ca.upf
Co 58.93 Co.upf
Rh 102.91 Rh.upf
O 16.00 O.upf
ATOMIC_POSITIONS crystal
Ca 0.1186 0.7437 0.3821
Ca 0.2563 0.6179 0.8814
Ca 0.3821 0.1186 0.7437
Ca 0.6179 0.8814 0.2563
Ca 0.7437 0.3821 0.1186
Ca 0.8814 0.2563 0.6179
Co 0.2518 0.2518 0.2518
Co 0.5000 0.5000 0.5000
Co 0.7482 0.7482 0.7482
Rh 0.0000 0.0000 0.0000
O 0.0408 0.9044 0.7002
O 0.0956 0.2998 0.9592
O 0.2138 0.4125 0.5405
O 0.2998 0.9592 0.0956
O 0.4125 0.5405 0.2138
O 0.4595 0.7862 0.5875
O 0.5405 0.2138 0.4125
O 0.5875 0.4595 0.7862
O 0.7002 0.0408 0.9044
O 0.7862 0.5875 0.4595
O 0.9044 0.7002 0.0408
O 0.9592 0.0956 0.2998
CELL_PARAMETERS angstrom
4.5269 2.6136 3.4893
-4.5269 2.6136 3.4893
0.0000 -5.2272 3.4893
```

Computed properties:
Magnetization = 8.01 μB/f.u.
Calculated total energy = -12.2606 eV per atom
ΔE_f (raw) = -51.3 eV per formula unit
DOS(E_F) = 8.43 states/eV/f.u.

***

(12)
A plane-wave DFT calculation with meta-GGA SCAN was carried out for a crystal of Ca5Sc2Co2O12 relaxed with PBEsol. Values from VASP.

Geometry as Quantum ESPRESSO input:
```
&SYSTEM
  ibrav = 0, nat = 21, ntyp = 4
/
ATOMIC_SPECIES
Ca 40.08 Ca.upf
Sc 44.96 Sc.upf
Co 58.93 Co.upf
O 16.00 O.upf
ATOMIC_POSITIONS crystal
Ca 0.0000 0.0000 0.0000
Ca 0.1274 0.4951 0.8613
Ca 0.2735 0.3622 0.3740
Ca 0.5049 0.8726 0.1387
Ca 0.6378 0.7265 0.6260
Sc 0.1257 0.8743 0.5000
Sc 0.6373 0.3627 0.0000
Co 0.3859 0.1128 0.7546
Co 0.8872 0.6141 0.2454
O 0.1051 0.1617 0.6755
O 0.1695 0.7044 0.2030
O 0.2956 0.8305 0.7970
O 0.3443 0.2025 0.0437
O 0.4164 0.0172 0.4692
O 0.4566 0.4032 0.7181
O 0.5968 0.5434 0.2819
O 0.6634 0.0570 0.8555
O 0.7975 0.6557 0.9563
O 0.8383 0.8949 0.3245
O 0.9430 0.3366 0.1445
O 0.9828 0.5836 0.5308
CELL_PARAMETERS angstrom
4.4352 -4.5159 0.0000
4.4352 4.5159 0.0000
-0.5470 0.0000 6.2595
```

Computed properties:
Magnetization = 2.01 μB/f.u.
Calculated total energy = -11.6658 eV per atom
ΔE_f (raw) = -58.8 eV per formula unit